The following is a DFT calculation (GGA+U) of Na2W2O7 after structural relaxation.

Geometry as POSCAR:
```
Na2W2O7
1.0
3.2115 -4.9676 0.0000
3.2115 4.9676 0.0000
-1.0393 0.0000 5.7725
Na W O
2 2 7
direct
0.1860 0.8140 0.0000
0.8140 0.1860 0.0000
0.2411 0.2411 0.6240
0.7589 0.7589 0.3760
0.0697 0.0697 0.3149
0.1372 0.4367 0.7946
0.4367 0.1372 0.7946
0.5000 0.5000 0.5000
0.5633 0.8628 0.2054
0.8628 0.5633 0.2054
0.9303 0.9303 0.6851
```

Properties
E above lowest polymorph   27 meV per atom
Space group   C2/m